[1]
# PmNpPaGe PBE-GGA optimized geometry
data_PmNpPaGe
_cell_length_a 7.262
_cell_length_b 7.262
_cell_length_c 7.262
_cell_angle_alpha 90.00
_cell_angle_beta 90.00
_cell_angle_gamma 90.00
_space_group_name_H-M_alt 'F -4 3 m'
_space_group_IT_number 216
_space_group_name_Hall 'F -4 2 3'
loop_
_atom_site_label
_atom_site_type_symbol
_atom_site_fract_x
_atom_site_fract_y
_atom_site_fract_z
Pm1 Pm 0.000 0.000 0.000
Np1 Np 0.250 0.250 0.250
Pa1 Pa 0.000 0.000 0.500
Ge1 Ge 0.250 0.250 0.750
# Calculated formation energy = 159 meV/atom
# Mass density = 11.9 Mg/m³
# DOS(E_F) = 47.82 states/eV per cell
# Energy = -7.792 eV/atom

[2]
# Er3Pt2Pb PBE-GGA optimized geometry
data_Er3Pt2Pb
_cell_length_a 3.484
_cell_length_b 3.484
_cell_length_c 11.576
_cell_angle_alpha 90.00
_cell_angle_beta 90.00
_cell_angle_gamma 90.00
_space_group_name_H-M_alt 'P 4/m m m'
_space_group_IT_number 123
_space_group_name_Hall '-P 4 2'
loop_
_atom_site_label
_atom_site_type_symbol
_atom_site_fract_x
_atom_site_fract_y
_atom_site_fract_z
Er1 Er 0.000 0.000 0.000
Er2 Er 0.000 0.000 0.292
Pt1 Pt 0.500 0.500 0.151
Pb1 Pb 0.500 0.500 0.500
# Calculated formation energy = -997 meV/atom
# Mass density = 13.0 Mg/m³
# DOS(E_F) = 3.37 states/eV per cell
# Energy = -5.910 eV/atom